4
Lattice="2.094 1.209 6.867 -2.094 1.209 6.867 0.000 -2.417 6.867" Properties=species:S:1:pos:R:3 comment="BeZnTe2 | Alexandria via LeMat-Bulk | GGA-PBE | optimized geometry" e_form_raw_mev_per_atom=-382 m_tot_mub_per_fu=0.00 total_energy_ev_per_cell=-12.8 pbc="T T T"
Be 0.000 0.000 0.000
Zn 0.000 0.000 10.274
Te 0.000 0.000 7.615
Te 0.000 0.000 18.151